# Sm4CoPd3

A geometry-optimized Sm4CoPd3 structure (PBE-GGA, Alexandria).

Unit cell a=3.8219 b=4.5235 c=10.6423 alpha=90.00 beta=90.00 gamma=90.00
Closest atoms and distances in Å follow each position.
Atoms (fractional coordinates):
Sm 0.0000 0.0000 0.0000  2 Co 2.95, 5 Pd 3.00-3.05
Sm 0.0000 0.5000 0.2649  3 Pd 2.97-3.00, 4 Co 3.02
Sm 0.5000 0.0000 0.4768  1 Co 2.82, 4 Pd 3.05
Sm 0.5000 0.5000 0.7655  7 Pd 3.01-3.03
Co 0.5000 0.0000 0.2115  7 Sm 2.82-3.02, 2 Pd 2.85
Pd 0.0000 0.0000 0.7135  2 Pd 2.89, 7 Sm 3.01-3.16
Pd 0.0000 0.5000 0.5444  2 Pd 2.89, 7 Sm 2.97-3.05
Pd 0.5000 0.5000 0.0480  2 Co 2.85, 7 Sm 3.00-3.01

Summary:
DFT formation energy (eV per atom): -0.64

---

# Sm12CoPd6

A geometry-optimized Sm12CoPd6 structure (PBE-GGA, Alexandria).

Unit cell a=8.3007 b=8.3007 c=8.3007 alpha=98.11 beta=98.11 gamma=98.11
Closest atoms and distances in Å follow each position.
Atoms (fractional coordinates):
Sm 0.0350 0.9277 0.6852  1 Co 2.66, 1 Pd 2.94
Sm 0.0723 0.3147 0.9650  1 Co 2.66, 1 Pd 2.94
Sm 0.1828 0.5786 0.4184  3 Pd 2.80-3.01
Sm 0.3147 0.9650 0.0723  1 Co 2.66, 1 Pd 2.94
Sm 0.4184 0.1828 0.5786  3 Pd 2.80-3.01
Sm 0.4214 0.5816 0.8172  3 Pd 2.80-3.01
Sm 0.5786 0.4184 0.1828  3 Pd 2.80-3.01
Sm 0.5816 0.8172 0.4214  3 Pd 2.80-3.01
Sm 0.6852 0.0350 0.9277  1 Co 2.66, 1 Pd 2.94
Sm 0.8172 0.4214 0.5816  3 Pd 2.80-3.01
Sm 0.9277 0.6852 0.0350  1 Co 2.66, 1 Pd 2.94
Sm 0.9650 0.0723 0.3147  1 Co 2.66, 1 Pd 2.94
Co 0.0000 0.0000 0.0000  6 Sm 2.66
Pd 0.1289 0.3091 0.6224  5 Sm 2.80-3.01
Pd 0.3091 0.6224 0.1289  5 Sm 2.80-3.01
Pd 0.3776 0.8711 0.6909  5 Sm 2.80-3.01
Pd 0.6224 0.1289 0.3091  5 Sm 2.80-3.01
Pd 0.6909 0.3776 0.8711  5 Sm 2.80-3.01
Pd 0.8711 0.6909 0.3776  5 Sm 2.80-3.01

Summary:
DFT formation energy (eV per atom): -0.44